1.
## CuSi2Au (PBE)

Data for a relaxed structure of CuSi2Au.

The structure in POSCAR format:
```
CuSi2Au
1.0
-0.8870 1.4471 -2.2799
-2.7482 -2.6557 -0.6164
-3.4554 2.8447 3.1500
Si Cu Au
2 1 1
Direct
0.5000 0.5000 0.2442
0.0000 0.0000 0.9681
0.5000 0.5000 0.7958
0.0000 0.0000 0.4919
```

Magnetic moment, Bohr magnetons per cell: 0.00
E above lowest polymorph, meV per atom: 217.5
Calculated total energy, eV/atom: -4.321
Formation energy from raw total energies, eV/atom: 0.23
Mass density, g cm⁻³: 8.73


2.
## Cu4SiAu3 (PBE)

Data for a relaxed structure of Cu4SiAu3.

The structure in POSCAR format:
```
Cu4SiAu3
1.0
-1.7294 1.8277 1.2958
-0.5012 -1.9111 2.0266
11.2172 5.1824 7.6614
Cu Au Si
4 3 1
Direct
0.0000 0.0000 0.1074
0.0000 0.0000 0.8926
0.0000 0.0000 0.3709
0.0000 0.0000 0.6291
0.5000 0.5000 0.5000
0.5000 0.5000 0.2424
0.5000 0.5000 0.7576
0.5000 0.5000 0.0000
```

Magnetic moment, Bohr magnetons per cell: 0.00
Calculated total energy, eV/atom: -3.957
Formation energy from raw total energies, eV/atom: 0.00
Mass density, g cm⁻³: 12.45


3.
## Cu8SiAu6 (PBE)

Data for a relaxed structure of Cu8SiAu6.

The structure in POSCAR format:
```
Cu8SiAu6
1.0
6.2156 0.0397 2.8123
1.8298 5.9409 2.8123
0.0537 0.0400 6.8226
Cu Au Si
8 6 1
Direct
0.6704 0.6704 0.6704
0.8843 0.2287 0.5322
0.7713 0.4678 0.1157
0.2287 0.5322 0.8843
0.5322 0.8843 0.2287
0.1157 0.7713 0.4678
0.4678 0.1157 0.7713
0.3296 0.3296 0.3296
0.6220 0.2686 0.9408
0.3780 0.7314 0.0592
0.7314 0.0592 0.3780
0.9408 0.6220 0.2686
0.0592 0.3780 0.7314
0.2686 0.9408 0.6220
0.0000 0.0000 0.0000
```

Magnetic moment, Bohr magnetons per cell: 0.00
Calculated total energy, eV/atom: -3.692
Formation energy from raw total energies, eV/atom: 0.16
Mass density, g cm⁻³: 11.41